A PBEsol-optimized structure of MgRu2Pt, computed with SCAN.

Results
Energy of formation, eV per atom: 0.058
Raw total energy, eV/atom: -36.147
Magnetic moment, μB/f.u.: 0.00
Fermi-level density of states, states/eV/cell: 21.07

Cell and atoms, written as CIF:
```
data_MgRu2Pt
_chemical_formula_sum 'Mg4 Ru8 Pt4'
_space_group_name_H-M_alt 'F -4 3 m'
_space_group_IT_number 216
_space_group_name_Hall 'F -4 2 3'
_cell_length_a 6.139
_cell_length_b 6.139
_cell_length_c 6.139
_cell_angle_alpha 90.00
_cell_angle_beta 90.00
_cell_angle_gamma 90.00
loop_
_atom_site_label
_atom_site_type_symbol
_atom_site_fract_x
_atom_site_fract_y
_atom_site_fract_z
_atom_site_occupancy
Mg1 Mg 0.000 0.000 0.000 1
Ru1 Ru 0.000 0.000 0.500 1
Ru2 Ru 0.250 0.250 0.750 1
Pt1 Pt 0.250 0.250 0.250 1
```

=====

A PBEsol-optimized structure of MgPtS2, computed with SCAN.

Results
Raw total energy, eV/atom: -23.977
Magnetic moment, μB/f.u.: 0.00
Fermi-level density of states, states/eV/cell: 4.01
Raw formation energy, eV per atom: -0.3712

Cell and atoms, written as CIF:
```
data_MgPtS2
_chemical_formula_sum 'Mg3 Pt3 S6'
_space_group_name_H-M_alt 'R -3 m'
_space_group_IT_number 166
_space_group_name_Hall '-R 3 2"'
_cell_length_a 3.5531
_cell_length_b 3.5531
_cell_length_c 22.6300
_cell_angle_alpha 90.00
_cell_angle_beta 90.00
_cell_angle_gamma 120.00
loop_
_atom_site_label
_atom_site_type_symbol
_atom_site_fract_x
_atom_site_fract_y
_atom_site_fract_z
_atom_site_occupancy
Mg1 Mg 0.0000 0.0000 0.0000 1
Pt1 Pt 0.0000 0.0000 0.5000 1
S1 S 0.0000 0.0000 0.1120 1
```

=====

A PBEsol-optimized structure of MgPt3S, computed with SCAN.

Results
Raw total energy, eV/atom: -43.709
Magnetic moment, μB/f.u.: 0.00
Fermi-level density of states, states/eV/cell: 7.03
Raw formation energy, eV per atom: 1.3268

Cell and atoms, written as CIF:
```
data_MgPt3S
_chemical_formula_sum 'Mg1 Pt3 S1'
_space_group_name_H-M_alt 'P m -3 m'
_space_group_IT_number 221
_space_group_name_Hall '-P 4 2 3'
_cell_length_a 4.563
_cell_length_b 4.563
_cell_length_c 4.563
_cell_angle_alpha 90.00
_cell_angle_beta 90.00
_cell_angle_gamma 90.00
loop_
_atom_site_label
_atom_site_type_symbol
_atom_site_fract_x
_atom_site_fract_y
_atom_site_fract_z
_atom_site_occupancy
Mg1 Mg 0.000 0.000 0.000 1
Pt1 Pt 0.000 0.000 0.500 1
S1 S 0.500 0.500 0.500 1
```

=====

A PBEsol-optimized structure of MgSbPt4, computed with SCAN.

Results
Raw total energy, eV/atom: -54.152
Magnetic moment, μB/f.u.: 0.00
Fermi-level density of states, states/eV/cell: 22.42
Raw formation energy, eV per atom: -0.3176

Cell and atoms, written as CIF:
```
data_MgSbPt4
_chemical_formula_sum 'Mg4 Sb4 Pt16'
_space_group_name_H-M_alt 'F -4 3 m'
_space_group_IT_number 216
_space_group_name_Hall 'F -4 2 3'
_cell_length_a 7.487
_cell_length_b 7.487
_cell_length_c 7.487
_cell_angle_alpha 90.00
_cell_angle_beta 90.00
_cell_angle_gamma 90.00
loop_
_atom_site_label
_atom_site_type_symbol
_atom_site_fract_x
_atom_site_fract_y
_atom_site_fract_z
_atom_site_occupancy
Mg1 Mg 0.000 0.000 0.000 1
Sb1 Sb 0.250 0.250 0.750 1
Pt1 Pt 0.125 0.125 0.375 1
```

=====

Number 1: calculated volume 14.5 A^3/atom. Number 2: calculated volume 20.6 A^3/atom. Number 3: calculated volume 19.0 A^3/atom. Number 4: calculated volume 17.5 A^3/atom.